DFT (GGA-PBE) results for a relaxed structure of Th4Te5Ru.

abc: 4.359 8.960 9.683
angles: 103.55 103.01 90.00
Positions (direct):
Th 0.001 0.234 0.002
Th 0.649 0.078 0.298
Th 0.351 0.922 0.702
Th 0.999 0.766 0.998
Te 0.829 0.663 0.659
Te 0.828 0.170 0.655
Te 0.171 0.337 0.341
Te 0.500 0.500 0.000
Te 0.172 0.830 0.345
Ru 0.500 0.000 0.000

Computed properties:
Formation energy without anion corrections in eV/atom: -1.006
Magnetic moment in Bohr magnetons per cell: 0.000
DOS at the Fermi energy in states/eV/f.u.: 4.10
Symmetry: C2/m, No. 12

---

DFT (GGA-PBE) results for a relaxed structure of Th2TeRu.

abc: 4.165 4.165 8.084
angles: 90.01 104.91 120.01
Positions (direct):
Th 0.466 0.733 0.199
Th 0.534 0.267 0.801
Ru 0.000 0.000 0.000
Te 0.000 0.500 0.500

Computed properties:
Formation energy without anion corrections in eV/atom: -0.891
Magnetic moment in Bohr magnetons per cell: 0.000
DOS at the Fermi energy in states/eV/f.u.: 1.41
Symmetry: R-3m, No. 166
Excess energy over the best structure of this formula in the dataset in eV/atom: 0.0000

---

DFT (GGA-PBE) results for a relaxed structure of Th2TeRu.

abc: 4.141 4.141 8.183
angles: 75.34 75.34 60.00
Positions (direct):
Ru 0.668 0.668 0.995
Te 0.499 0.499 0.502
Th 0.066 0.066 0.803
Th 0.267 0.267 0.199

Computed properties:
Formation energy without anion corrections in eV/atom: -0.854
Magnetic moment in Bohr magnetons per cell: 0.000
DOS at the Fermi energy in states/eV/f.u.: 1.60
Symmetry: R3m, No. 160
Excess energy over the best structure of this formula in the dataset in eV/atom: 0.0366

---

DFT (GGA-PBE) results for a relaxed structure of Th3Te2Ru.

abc: 7.521 7.494 7.918
angles: 80.83 71.48 59.88
Positions (direct):
Th 0.072 0.368 0.788
Th 0.928 0.632 0.212
Th 0.560 0.368 0.212
Th 0.299 0.000 0.207
Th 0.440 0.632 0.788
Th 0.701 0.000 0.793
Te 0.500 0.000 0.500
Te 0.847 0.306 0.500
Te 0.153 0.694 0.500
Te 0.000 0.000 0.000
Ru 0.332 0.336 0.000
Ru 0.668 0.664 0.000

Computed properties:
Formation energy without anion corrections in eV/atom: -0.953
Magnetic moment in Bohr magnetons per cell: 0.000
DOS at the Fermi energy in states/eV/f.u.: 5.05
Symmetry: C2/m, No. 12

---

DFT (GGA-PBE) results for a relaxed structure of ThTeRu.

abc: 3.960 3.955 12.547
angles: 119.24 101.79 84.44
Positions (direct):
Th 0.408 0.459 0.370
Th 0.204 0.850 0.965
Ru 0.893 0.986 0.168
Ru 0.474 0.568 0.168
Te 0.983 0.190 0.523
Te 0.626 0.123 0.813

Computed properties:
Formation energy without anion corrections in eV/atom: -0.566
Magnetic moment in Bohr magnetons per cell: 0.000
DOS at the Fermi energy in states/eV/f.u.: 1.98
Symmetry: C2, No. 5
Excess energy over the best structure of this formula in the dataset in eV/atom: 0.1800

---

DFT (GGA-PBE) results for a relaxed structure of Th6Te5Ru.

abc: 7.599 8.909 7.728
angles: 107.58 99.79 123.92
Positions (direct):
Te 0.659 0.659 0.317
Te 0.341 0.341 0.683
Te 0.000 0.500 0.000
Te 0.310 0.810 0.620
Te 0.690 0.190 0.380
Th 0.147 0.368 0.297
Th 0.533 0.790 0.000
Th 0.853 0.632 0.703
Th 0.150 0.929 0.297
Th 0.850 0.071 0.703
Th 0.467 0.210 0.000
Ru 0.000 0.000 0.000

Computed properties:
Formation energy without anion corrections in eV/atom: -1.002
Magnetic moment in Bohr magnetons per cell: 0.000
DOS at the Fermi energy in states/eV/f.u.: 10.30
Symmetry: C2/m, No. 12